Record 1
# TaSiOs2

TaSiOs2 after structural relaxation (PBE, Alexandria).

```
TaSiOs2
1.0
3.023 0.000 0.000
0.000 4.798 0.000
0.000 0.000 8.308
Ta Si Os
2 2 4
Direct
0.000 0.000 0.000
0.500 0.500 0.000
0.000 0.000 0.500
0.500 0.500 0.500
0.000 0.500 0.274
0.000 0.500 0.726
0.500 0.000 0.274
0.500 0.000 0.726
```

* final energy: -78.9 eV per cell
* Fermi-level density of states: 2.70 states/eV/f.u.

***

Record 2
# TbEuScTl

TbEuScTl after structural relaxation (PBE, Alexandria).

```
TbEuScTl
1.0
7.628 0.000 0.000
0.000 7.628 0.000
0.000 0.000 7.628
Tb Eu Sc Tl
4 4 4 4
Direct
0.000 0.000 0.000
0.000 0.500 0.500
0.500 0.000 0.500
0.500 0.500 0.000
0.250 0.250 0.750
0.250 0.750 0.250
0.750 0.250 0.250
0.750 0.750 0.750
0.000 0.000 0.500
0.000 0.500 0.000
0.500 0.000 0.000
0.500 0.500 0.500
0.250 0.250 0.250
0.250 0.750 0.750
0.750 0.250 0.750
0.750 0.750 0.250
```

* energy of formation from the pure elements: -0.004 eV/atom
* Fermi-level density of states: 6.81 states/eV/f.u.

***

Record 3
# MnZnNi

MnZnNi after structural relaxation (PBE, Alexandria).

```
MnZnNi
1.0
2.689 0.000 0.000
0.000 4.124 0.000
0.000 0.000 4.170
Mn Zn Ni
1 1 1
Direct
0.000 0.000 0.000
0.000 0.500 0.500
0.500 0.000 0.500
```

* energy of formation from the pure elements: 0.161 eV/atom
* Fermi-level density of states: 2.10 states/eV/f.u.

***

Record 4
# NbCd2In

NbCd2In after structural relaxation (PBE, Alexandria).

```
NbCd2In
1.0
3.064 0.000 0.000
-1.532 2.653 0.000
0.000 0.000 33.472
Nb Cd In
3 6 3
Direct
0.000 0.000 0.000
0.333 0.667 0.667
0.667 0.333 0.333
0.000 0.000 0.086
0.000 0.000 0.914
0.333 0.667 0.580
0.333 0.667 0.753
0.667 0.333 0.247
0.667 0.333 0.420
0.000 0.000 0.500
0.333 0.667 0.167
0.667 0.333 0.833
```

* energy of formation from the pure elements: 0.489 eV/atom
* Fermi-level density of states: 3.47 states/eV/f.u.

***

Record 5
# TbY2Ho2Tm2

TbY2Ho2Tm2 after structural relaxation (PBE, Alexandria).

```
TbY2Ho2Tm2
1.0
2.816 1.626 8.085
-2.816 1.626 8.085
0.000 -3.252 8.085
Tb Y Ho Tm
1 2 2 2
Direct
0.000 0.000 0.000
0.142 0.142 0.142
0.858 0.858 0.858
0.285 0.285 0.285
0.715 0.715 0.715
0.428 0.428 0.428
0.572 0.572 0.572
```

* energy of formation from the pure elements: 0.140 eV/atom
* Fermi-level density of states: 17.88 states/eV/f.u.

***

Record 6
# InRhCl2

InRhCl2 after structural relaxation (PBE, Alexandria).

```
InRhCl2
1.0
3.284 0.000 0.000
0.000 7.426 0.000
0.000 0.000 8.851
In Rh Cl
2 2 4
Direct
0.000 0.000 0.000
0.500 0.500 0.500
0.000 0.500 0.739
0.500 0.000 0.239
0.000 0.000 0.417
0.000 0.500 0.279
0.500 0.000 0.779
0.500 0.500 0.917
```

* energy above the lowest structure with this stoichiometry: 0.174 eV/atom

***

Record 7
# Dy12CdRh6

Dy12CdRh6 after structural relaxation (PBE, Alexandria).

```
Dy12CdRh6
1.0
-4.939 4.939 4.939
4.939 -4.939 4.939
4.939 4.939 -4.939
Dy Cd Rh
12 1 6
Direct
0.112 0.811 0.301
0.189 0.301 0.490
0.189 0.699 0.888
0.301 0.112 0.811
0.301 0.490 0.189
0.490 0.189 0.301
0.510 0.811 0.699
0.699 0.510 0.811
0.699 0.888 0.189
0.811 0.301 0.112
0.811 0.699 0.510
0.888 0.189 0.699
0.000 0.000 0.000
0.131 0.631 0.500
0.369 0.500 0.869
0.500 0.131 0.631
0.500 0.869 0.369
0.631 0.500 0.131
0.869 0.369 0.500
```

* energy of formation from the pure elements: -0.575 eV/atom
* Fermi-level density of states: 20.19 states/eV/f.u.

***

Record 8
# Tl2AgF3

Tl2AgF3 after structural relaxation (PBE, Alexandria).

```
Tl2AgF3
1.0
6.151 -2.719 0.000
6.151 2.719 0.000
-2.358 0.000 7.240
Tl Ag F
4 2 6
Direct
0.163 0.164 0.082
0.164 0.163 0.582
0.836 0.837 0.418
0.837 0.836 0.918
0.500 0.500 0.250
0.500 0.500 0.750
0.000 0.000 0.250
0.000 0.000 0.750
0.363 0.367 0.433
0.367 0.363 0.933
0.633 0.637 0.067
0.637 0.633 0.567
```

* energy above the lowest structure with this stoichiometry: 0.012 eV/atom
* Fermi-level density of states: 0.00 states/eV/f.u.

***

Record 9
# VSiP

VSiP after structural relaxation (PBE, Alexandria).

```
VSiP
1.0
8.356 0.000 0.000
0.000 3.195 0.000
-2.337 0.000 6.108
V Si P
4 4 4
Direct
0.178 0.000 0.158
0.322 0.500 0.842
0.678 0.500 0.158
0.822 0.000 0.842
0.152 0.000 0.541
0.348 0.500 0.459
0.652 0.500 0.541
0.848 0.000 0.459
0.042 0.500 0.845
0.458 0.000 0.155
0.542 0.000 0.845
0.958 0.500 0.155
```

* final energy: -85.5 eV per cell
* Fermi-level density of states: 1.22 states/eV/f.u.

***

Record 10
# Hf2SeO2

Hf2SeO2 after structural relaxation (PBE, Alexandria).

```
Hf2SeO2
1.0
6.906 0.000 0.000
0.000 6.906 0.000
0.000 0.000 2.889
Hf Se O
4 2 4
Direct
0.151 0.349 0.000
0.349 0.849 0.000
0.651 0.151 0.000
0.849 0.651 0.000
0.000 0.000 0.000
0.500 0.500 0.000
0.125 0.625 0.500
0.375 0.125 0.500
0.625 0.875 0.500
0.875 0.375 0.500
```

* final energy: -83.0 eV per cell
* Fermi-level density of states: 1.54 states/eV/f.u.

***

Record 11
# Ac2RuO8

Ac2RuO8 after structural relaxation (PBE, Alexandria).

```
Ac2RuO8
1.0
7.557 -2.180 0.000
7.557 2.180 0.000
-1.470 0.000 4.512
Ac Ru O
2 1 8
Direct
0.173 0.173 0.181
0.827 0.827 0.819
0.500 0.500 0.500
0.001 0.001 0.655
0.244 0.244 0.759
0.375 0.375 0.437
0.458 0.458 0.042
0.542 0.542 0.958
0.625 0.625 0.563
0.756 0.756 0.241
0.999 0.999 0.345
```

* energy above the lowest structure with this stoichiometry: 0.173 eV/atom
* Fermi-level density of states: 6.10 states/eV/f.u.

***

Record 12
# Cl5F

Cl5F after structural relaxation (PBE, Alexandria).

```
Cl5F
1.0
5.830 0.000 0.000
0.000 7.609 0.000
-2.345 0.000 8.677
Cl F
10 2
Direct
0.000 0.000 0.000
0.021 0.000 0.463
0.182 0.500 0.212
0.226 0.500 0.812
0.398 0.000 0.307
0.500 0.500 0.000
0.521 0.500 0.463
0.682 0.000 0.212
0.726 0.000 0.812
0.898 0.500 0.307
0.233 0.000 0.635
0.733 0.500 0.635
```

* final energy: -23.6 eV per cell
* Fermi-level density of states: 0.00 states/eV/f.u.

***

Record 13
# HgI2O

HgI2O after structural relaxation (PBE, Alexandria).

```
HgI2O
1.0
7.302 0.000 0.000
0.000 7.302 0.000
0.000 0.000 7.302
Hg I O
4 8 4
Direct
0.000 0.000 0.000
0.000 0.500 0.500
0.500 0.000 0.500
0.500 0.500 0.000
0.250 0.250 0.250
0.250 0.250 0.750
0.250 0.750 0.250
0.250 0.750 0.750
0.750 0.250 0.250
0.750 0.250 0.750
0.750 0.750 0.250
0.750 0.750 0.750
0.000 0.000 0.500
0.000 0.500 0.000
0.500 0.000 0.000
0.500 0.500 0.500
```

* energy above the lowest structure with this stoichiometry: 0.688 eV/atom
* Fermi-level density of states: 4.61 states/eV/f.u.

***

Record 14
# Tm8Ir2Pt

Tm8Ir2Pt after structural relaxation (PBE, Alexandria).

```
Tm8Ir2Pt
1.0
4.202 -6.198 0.000
4.202 6.198 0.000
-1.756 0.000 5.459
Tm Ir Pt
8 2 1
Direct
0.000 0.000 0.000
0.032 0.293 0.585
0.142 0.585 0.188
0.293 0.032 0.585
0.441 0.702 0.778
0.585 0.142 0.188
0.702 0.441 0.778
0.727 0.727 0.373
0.056 0.681 0.688
0.681 0.056 0.688
0.364 0.364 0.340
```

* energy above the lowest structure with this stoichiometry: 0.061 eV/atom
* energy of formation from the pure elements: -0.601 eV/atom
* Fermi-level density of states: 9.97 states/eV/f.u.

***

Record 15
# Rb2Cd2Hg5

Rb2Cd2Hg5 after structural relaxation (PBE, Alexandria).

```
Rb2Cd2Hg5
1.0
5.202 0.000 0.000
0.000 5.202 0.000
0.000 0.000 11.262
Rb Cd Hg
2 2 5
Direct
0.000 0.000 0.000
0.000 0.000 0.500
0.500 0.500 0.131
0.500 0.500 0.869
0.000 0.500 0.270
0.000 0.500 0.730
0.500 0.000 0.270
0.500 0.000 0.730
0.500 0.500 0.500
```

* energy of formation from the pure elements: -0.128 eV/atom
* Fermi-level density of states: 3.70 states/eV/f.u.

***

Record 16
# BaCrNi2

BaCrNi2 after structural relaxation (PBE, Alexandria).

```
BaCrNi2
1.0
6.394 0.000 0.000
0.000 7.083 0.000
0.000 0.000 3.346
Ba Cr Ni
2 2 4
Direct
0.000 0.000 0.000
0.500 0.500 0.000
0.000 0.500 0.000
0.500 0.000 0.000
0.250 0.250 0.500
0.250 0.750 0.500
0.750 0.250 0.500
0.750 0.750 0.500
```

* energy above the lowest structure with this stoichiometry: 0.509 eV/atom
* energy of formation from the pure elements: 0.708 eV/atom
* Fermi-level density of states: 2.91 states/eV/f.u.

***

Record 17
# Rb2NpCu2Te4

Rb2NpCu2Te4 after structural relaxation (PBE, Alexandria).

```
Rb2NpCu2Te4
1.0
8.025 -2.204 0.000
8.025 2.204 0.000
-2.780 0.000 8.229
Rb Np Cu Te
2 1 2 4
Direct
0.136 0.136 0.063
0.864 0.864 0.937
0.000 0.000 0.500
0.322 0.322 0.513
0.678 0.678 0.487
0.200 0.200 0.668
0.480 0.480 0.733
0.520 0.520 0.267
0.800 0.800 0.332
```

* final energy: -41.6 eV per cell
* Fermi-level density of states: 7.67 states/eV/f.u.

***

Record 18
# Sr2ZnSiOs

Sr2ZnSiOs after structural relaxation (PBE, Alexandria).

```
Sr2ZnSiOs
1.0
5.704 0.000 0.000
0.000 5.704 0.000
0.000 0.000 4.817
Sr Zn Si Os
2 1 1 1
Direct
0.000 0.500 0.000
0.500 0.000 0.000
0.000 0.000 0.500
0.500 0.500 0.500
0.000 0.000 0.000
```

* final energy: -17.8 eV per cell
* Fermi-level density of states: 3.73 states/eV/f.u.

***

Record 19
# CsRhPb3

CsRhPb3 after structural relaxation (PBE, Alexandria).

```
CsRhPb3
1.0
8.756 0.000 0.000
0.000 4.503 0.000
-3.185 0.000 8.854
Cs Rh Pb
2 2 6
Direct
0.224 0.250 0.431
0.776 0.750 0.569
0.392 0.250 0.992
0.608 0.750 0.008
0.059 0.250 0.904
0.291 0.750 0.789
0.371 0.750 0.162
0.629 0.250 0.838
0.709 0.250 0.211
0.941 0.750 0.096
```

* energy above the lowest structure with this stoichiometry: 0.000 eV/atom
* energy of formation from the pure elements: -0.177 eV/atom
* Fermi-level density of states: 2.68 states/eV/f.u.

***

Record 20
# Zn4CoCu

Zn4CoCu after structural relaxation (PBE, Alexandria).

```
Zn4CoCu
1.0
4.188 0.000 0.000
0.000 7.223 0.000
0.000 0.000 5.245
Zn Co Cu
8 2 2
Direct
0.248 0.083 0.242
0.248 0.417 0.758
0.252 0.083 0.758
0.252 0.417 0.242
0.748 0.583 0.758
0.748 0.917 0.242
0.752 0.583 0.242
0.752 0.917 0.758
0.250 0.750 0.000
0.750 0.250 0.000
0.250 0.750 0.500
0.750 0.250 0.500
```

* energy above the lowest structure with this stoichiometry: 0.052 eV/atom
* energy of formation from the pure elements: 0.021 eV/atom
* Fermi-level density of states: 3.35 states/eV/f.u.